[1]
Material: InP4Ir
Method: DFT, PBE-GGA
State: relaxed

Properties
As for the space-group type: F-43m, No. 216.

Unit cell a=5.255 b=5.255 c=5.255 alpha=60.00 beta=60.00 gamma=60.00
Element x y z (fractional)
In 0.750 0.750 0.750
P 0.388 0.836 0.388
P 0.388 0.388 0.836
P 0.836 0.388 0.388
P 0.388 0.388 0.388
Ir 0.000 0.000 0.000

---

[2]
Material: InPIr2
Method: DFT, PBE-GGA
State: relaxed

Properties
The energy above the most stable polymorph in this dataset is 427.6 meV per atom. As for the space-group type: Fm-3m, No. 225.

Unit cell a=4.475 b=4.475 c=4.475 alpha=60.00 beta=60.00 gamma=60.00
Element x y z (fractional)
Ir 0.750 0.750 0.750
Ir 0.250 0.250 0.250
In 0.500 0.500 0.500
P 0.000 0.000 0.000

---

[3]
Material: InPIr2
Method: DFT, PBE-GGA
State: relaxed

Properties
The energy above the most stable polymorph in this dataset is 452.2 meV per atom. As for the space-group type: I-4m2, No. 119.

Unit cell a=5.232 b=5.232 c=5.232 alpha=137.88 beta=137.88 gamma=61.09
Element x y z (fractional)
P 0.500 0.500 0.000
In 0.750 0.250 0.500
Ir 0.000 0.000 0.000
Ir 0.250 0.750 0.500

---

Formation energy from the elements values, unit eV/atom, following the record order: 0.819; 0.298; 0.323.
Mass density values, unit Mg/m³, following the record order: 6.97; 13.89; 13.82.